Computed, not measured: a relaxed structure of MgTa2O6 at the PBE level of DFT.

Output
- E_form (uncorrected): -2473 kJ/mol of formula units

Unit cell a=4.5863 b=8.7788 c=8.7788 alpha=120.00 beta=90.00 gamma=90.00
Last column: nearest neighbours and their distance in Å.
Positions (direct):
Mg 0.5063 0.3333 0.6667  6 O 2.09
Mg 0.0000 0.0000 0.0000  6 O 2.06
Mg 0.4937 0.6667 0.3333  6 O 2.09
Ta 0.0000 0.6371 0.6371  6 O 1.92-2.14
Ta 0.5000 0.3022 0.3022  6 O 1.91-2.13
Ta 0.0000 0.0000 0.3629  6 O 1.92-2.14
Ta 0.5000 0.6978 0.0000  6 O 1.91-2.13
Ta 0.5000 0.0000 0.6978  6 O 1.91-2.13
Ta 0.0000 0.3629 0.0000  6 O 1.92-2.14
O 0.2351 0.7690 0.8796  1 Ta 1.91, 1 Mg 2.06
O 0.7411 0.5689 0.7792  2 Ta 2.02, 1 Mg 2.09
O 0.2617 0.4406 0.5417  2 Ta 1.92-2.13, 1 Mg 2.09
O 0.2617 0.4583 0.8990  2 Ta 1.92-2.13, 1 Mg 2.09
O 0.7411 0.2104 0.4311  2 Ta 2.02, 1 Mg 2.09
O 0.2351 0.1106 0.2310  1 Ta 1.91, 1 Mg 2.06
O 0.7411 0.2208 0.7896  2 Ta 2.02, 1 Mg 2.09
O 0.7649 0.8894 0.1204  1 Ta 1.91, 1 Mg 2.06
O 0.2617 0.1010 0.5594  2 Ta 1.92-2.13, 1 Mg 2.09
O 0.2351 0.1204 0.8894  1 Ta 1.91, 1 Mg 2.06
O 0.2589 0.7896 0.2208  2 Ta 2.02, 1 Mg 2.09
O 0.7383 0.8990 0.4583  2 Ta 1.92-2.13, 1 Mg 2.09
O 0.7383 0.5594 0.1010  2 Ta 1.92-2.13, 1 Mg 2.09
O 0.2589 0.7792 0.5689  2 Ta 2.02, 1 Mg 2.09
O 0.7649 0.8796 0.7690  1 Ta 1.91, 1 Mg 2.06
O 0.2589 0.4311 0.2104  2 Ta 2.02, 1 Mg 2.09
O 0.7383 0.5417 0.4406  2 Ta 1.92-2.13, 1 Mg 2.09
O 0.7649 0.2310 0.1106  1 Ta 1.91, 1 Mg 2.06

Computed, not measured: a relaxed structure of CaGaCo2Cl at the PBE level of DFT.

Output
- E_form (uncorrected): 472 kJ/mol of formula units

Unit cell a=5.2695 b=5.1223 c=5.2695 alpha=90.00 beta=90.00 gamma=90.00
Last column: nearest neighbours and their distance in Å.
Positions (direct):
Ca 0.0000 0.0000 0.0000  2 Cl 2.56, 4 Co 2.63
Co 0.0000 0.0000 0.5000  2 Ca 2.63
Co 0.5000 0.0000 0.0000  2 Ca 2.63
Ga 0.5000 0.5000 0.5000  8 Co 3.67, 4 Cl 3.73
Cl 0.0000 0.5000 0.0000  2 Ca 2.56

Computed, not measured: a relaxed structure of ZrTl2As at the PBE level of DFT.

Output
- ΔH_f (0 K): 22 meV per atom
- Polymorph energy (0 for the lowest one): 0.3035 eV per atom

Unit cell a=6.1700 b=4.0828 c=4.0720 alpha=90.57 beta=90.00 gamma=90.00
Last column: nearest neighbours and their distance in Å.
Positions (direct):
Tl 0.0000 0.0007 0.0010  4 Tl 2.86-2.90
Tl 0.0000 0.4993 0.4990  4 Tl 2.86-2.90
As 0.5000 0.7500 0.7500  4 Zr 2.87-2.90
Zr 0.5000 0.2500 0.2500  4 As 2.87-2.90

Computed, not measured: a relaxed structure of Tb4Cd2Ga at the PBE level of DFT.

Output
- ΔH_f (0 K): -211 meV per atom

Unit cell a=5.1873 b=5.1873 c=8.9353 alpha=73.13 beta=73.13 gamma=60.00
Last column: nearest neighbours and their distance in Å.
Positions (direct):
Tb 0.8750 0.8750 0.3751  1 Ga 3.16, 4 Cd 3.17-3.18
Tb 0.1250 0.1250 0.6249  1 Ga 3.16, 4 Cd 3.17-3.18
Tb 0.6235 0.6235 0.1296  4 Cd 3.16-3.18, 3 Ga 3.19
Tb 0.3765 0.3765 0.8704  4 Cd 3.16-3.18, 3 Ga 3.19
Ga 0.0000 0.0000 0.0000  8 Tb 3.16-3.19
Cd 0.7495 0.7495 0.7516  8 Tb 3.16-3.18
Cd 0.2505 0.2505 0.2484  8 Tb 3.16-3.18

Computed, not measured: a relaxed structure of RbAuIO2 at the PBE level of DFT.

Output
- E_form (uncorrected): 26 kJ/mol of formula units
- Polymorph energy (0 for the lowest one): 0.0000 eV per atom

Unit cell a=4.5374 b=4.5374 c=5.5584 alpha=90.00 beta=90.00 gamma=90.00
Last column: nearest neighbours and their distance in Å.
Positions (direct):
I 0.0000 0.0000 0.5000  2 Au 2.78
Au 0.0000 0.0000 0.0000  4 O 2.27
O 0.0000 0.5000 0.0000  2 Au 2.27
O 0.5000 0.0000 0.0000  2 Au 2.27
Rb 0.5000 0.5000 0.5000  4 I 3.21, 8 O 3.59

Computed, not measured: a relaxed structure of BeCdGa2 at the PBE level of DFT.

Output
- ΔH_f (0 K): 180 meV per atom
- Polymorph energy (0 for the lowest one): 0.0000 eV per atom

Unit cell a=3.9943 b=3.9943 c=5.7092 alpha=69.52 beta=69.52 gamma=60.00
Last column: nearest neighbours and their distance in Å.
Positions (direct):
Be 0.6648 0.6648 0.0057  6 Ga 2.42-2.46, 1 Cd 2.61
Cd 0.4984 0.4984 0.5047  1 Be 2.61, 3 Ga 2.90
Ga 0.0524 0.0524 0.8428  3 Be 2.46
Ga 0.2844 0.2844 0.1469  3 Be 2.42